Record 1
# HoTmTh6

HoTmTh6 after structural relaxation (GGA-PBE, Alexandria via LeMat-Bulk). Values from VASP.

Cell and atoms, written as Quantum ESPRESSO input:
```
&SYSTEM
  ibrav = 0, nat = 8, ntyp = 3
/
ATOMIC_SPECIES
Ho 164.93 Ho.upf
Tm 168.93 Tm.upf
Th 232.04 Th.upf
CELL_PARAMETERS angstrom
5.039 0.000 0.000
0.000 5.039 0.000
0.000 0.000 10.077
ATOMIC_POSITIONS crystal
Ho 0.000 0.000 0.000
Tm 0.000 0.000 0.500
Th 0.000 0.500 0.251
Th 0.000 0.500 0.749
Th 0.500 0.000 0.251
Th 0.500 0.000 0.749
Th 0.500 0.500 0.000
Th 0.500 0.500 0.500
```

Energy, eV per atom: -6.64
Energy of formation, eV/atom: 0.0536
Density of states at the Fermi level, states/eV per cell: 13.4



Record 2
# Ho5Tm3Th2

Ho5Tm3Th2 after structural relaxation (GGA-PBE, Alexandria via LeMat-Bulk). Values from VASP.

Cell and atoms, written as Quantum ESPRESSO input:
```
&SYSTEM
  ibrav = 0, nat = 20, ntyp = 3
/
ATOMIC_SPECIES
Ho 164.93 Ho.upf
Tm 168.93 Tm.upf
Th 232.04 Th.upf
CELL_PARAMETERS angstrom
5.298 -8.336 0.000
5.298 8.336 0.000
-5.297 0.000 7.261
ATOMIC_POSITIONS crystal
Ho 0.026 0.974 0.750
Ho 0.119 0.377 0.752
Ho 0.278 0.722 0.250
Ho 0.377 0.119 0.252
Ho 0.469 0.531 0.250
Ho 0.531 0.469 0.750
Ho 0.623 0.881 0.748
Ho 0.722 0.278 0.750
Ho 0.881 0.623 0.248
Ho 0.974 0.026 0.250
Tm 0.020 0.273 0.045
Tm 0.217 0.783 0.750
Tm 0.273 0.020 0.545
Tm 0.727 0.980 0.455
Tm 0.783 0.217 0.250
Tm 0.980 0.727 0.955
Th 0.237 0.489 0.478
Th 0.489 0.237 0.978
Th 0.511 0.763 0.022
Th 0.763 0.511 0.522
```

Energy, eV per atom: -4.90
Energy of formation, eV/atom: 0.2181
Density of states at the Fermi level, states/eV per cell: 29.8



Record 3
# HoTmTh3

HoTmTh3 after structural relaxation (GGA-PBE, Alexandria via LeMat-Bulk). Values from VASP.

Cell and atoms, written as Quantum ESPRESSO input:
```
&SYSTEM
  ibrav = 0, nat = 10, ntyp = 3
/
ATOMIC_SPECIES
Ho 164.93 Ho.upf
Tm 168.93 Tm.upf
Th 232.04 Th.upf
CELL_PARAMETERS angstrom
8.571 0.000 0.000
0.000 3.448 0.000
-4.208 0.000 10.822
ATOMIC_POSITIONS crystal
Ho 0.142 0.250 0.450
Ho 0.858 0.750 0.550
Tm 0.359 0.750 0.058
Tm 0.641 0.250 0.942
Th 0.056 0.250 0.142
Th 0.227 0.250 0.763
Th 0.481 0.250 0.355
Th 0.519 0.750 0.645
Th 0.773 0.750 0.237
Th 0.944 0.750 0.858
```

Energy, eV per atom: -6.13
Energy of formation, eV/atom: 0.1317
Density of states at the Fermi level, states/eV per cell: 16.9



Record 4
# HoTm6Th

HoTm6Th after structural relaxation (GGA-PBE, Alexandria via LeMat-Bulk). Values from VASP.

Cell and atoms, written as Quantum ESPRESSO input:
```
&SYSTEM
  ibrav = 0, nat = 8, ntyp = 3
/
ATOMIC_SPECIES
Ho 164.93 Ho.upf
Tm 168.93 Tm.upf
Th 232.04 Th.upf
CELL_PARAMETERS angstrom
6.485 0.000 0.000
0.350 6.637 0.000
0.495 3.292 5.779
ATOMIC_POSITIONS crystal
Ho 0.000 0.000 0.000
Tm 0.241 0.552 0.540
Tm 0.247 0.526 0.041
Tm 0.250 0.053 0.521
Tm 0.750 0.947 0.479
Tm 0.753 0.474 0.959
Tm 0.759 0.448 0.460
Th 0.500 0.000 0.000
```

Energy, eV per atom: -4.62
Energy of formation, eV/atom: 0.2293
Density of states at the Fermi level, states/eV per cell: 15.3



Record 5
# Ho4Tm8Th

Ho4Tm8Th after structural relaxation (GGA-PBE, Alexandria via LeMat-Bulk). Values from VASP.

Cell and atoms, written as Quantum ESPRESSO input:
```
&SYSTEM
  ibrav = 0, nat = 13, ntyp = 3
/
ATOMIC_SPECIES
Ho 164.93 Ho.upf
Tm 168.93 Tm.upf
Th 232.04 Th.upf
CELL_PARAMETERS angstrom
3.387 1.955 10.579
-3.387 1.955 10.579
0.000 -3.911 10.579
ATOMIC_POSITIONS crystal
Ho 0.000 0.000 0.000
Ho 0.000 0.500 0.500
Ho 0.500 0.000 0.500
Ho 0.500 0.500 0.000
Tm 0.200 0.200 0.200
Tm 0.240 0.749 0.749
Tm 0.251 0.251 0.760
Tm 0.251 0.760 0.251
Tm 0.749 0.240 0.749
Tm 0.749 0.749 0.240
Tm 0.760 0.251 0.251
Tm 0.800 0.800 0.800
Th 0.500 0.500 0.500
```

Energy, eV per atom: -4.43
Energy of formation, eV/atom: 0.2964
Density of states at the Fermi level, states/eV per cell: 16.1



Record 6
# Ho4Tm2Th3

Ho4Tm2Th3 after structural relaxation (GGA-PBE, Alexandria via LeMat-Bulk). Values from VASP.

Cell and atoms, written as Quantum ESPRESSO input:
```
&SYSTEM
  ibrav = 0, nat = 9, ntyp = 3
/
ATOMIC_SPECIES
Ho 164.93 Ho.upf
Tm 168.93 Tm.upf
Th 232.04 Th.upf
CELL_PARAMETERS angstrom
3.540 0.000 0.000
-1.770 3.066 0.000
0.000 0.000 26.284
ATOMIC_POSITIONS crystal
Ho 0.000 0.000 0.000
Ho 0.000 0.000 0.220
Ho 0.333 0.667 0.328
Ho 0.333 0.667 0.550
Tm 0.000 0.000 0.656
Tm 0.000 0.000 0.875
Th 0.000 0.000 0.438
Th 0.333 0.667 0.107
Th 0.333 0.667 0.768
```

Energy, eV per atom: -5.42
Energy of formation, eV/atom: 0.0829
Density of states at the Fermi level, states/eV per cell: 18.2



Record 7
# Ho2Tm2Th5

Ho2Tm2Th5 after structural relaxation (GGA-PBE, Alexandria via LeMat-Bulk). Values from VASP.

Cell and atoms, written as Quantum ESPRESSO input:
```
&SYSTEM
  ibrav = 0, nat = 9, ntyp = 3
/
ATOMIC_SPECIES
Ho 164.93 Ho.upf
Tm 168.93 Tm.upf
Th 232.04 Th.upf
CELL_PARAMETERS angstrom
5.651 -2.491 0.000
5.651 2.491 0.000
-3.445 0.000 10.112
ATOMIC_POSITIONS crystal
Ho 0.166 0.166 0.056
Ho 0.834 0.834 0.944
Tm 0.168 0.168 0.390
Tm 0.832 0.832 0.610
Th 0.165 0.165 0.722
Th 0.500 0.500 0.169
Th 0.500 0.500 0.500
Th 0.500 0.500 0.831
Th 0.835 0.835 0.278
```

Energy, eV per atom: -6.09
Energy of formation, eV/atom: 0.0469
Density of states at the Fermi level, states/eV per cell: 14.5



Record 8
# HoTmTh2

HoTmTh2 after structural relaxation (GGA-PBE, Alexandria via LeMat-Bulk). Values from VASP.

Cell and atoms, written as Quantum ESPRESSO input:
```
&SYSTEM
  ibrav = 0, nat = 4, ntyp = 3
/
ATOMIC_SPECIES
Ho 164.93 Ho.upf
Tm 168.93 Tm.upf
Th 232.04 Th.upf
CELL_PARAMETERS angstrom
3.546 0.000 0.000
0.000 3.546 0.000
0.000 0.000 10.016
ATOMIC_POSITIONS crystal
Ho 0.000 0.000 0.000
Tm 0.000 0.000 0.500
Th 0.500 0.500 0.251
Th 0.500 0.500 0.749
```

Energy, eV per atom: -5.93
Energy of formation, eV/atom: 0.0417
Density of states at the Fermi level, states/eV per cell: 5.4



Number 7 is which compound?
Ho2Tm2Th5



density of states at the Fermi level of number 4 (HoTm6Th)?
15.3 states/eV per cell